# 1
Compound: RbSnSe2O8
Source: the Alexandria database
Functional: PBE-GGA
Structure: optimized geometry

Values from the calculation:
Energy relative to the elements, uncorrected (eV/atom): -0.989
Symmetry: No. 147

Cell lengths 5.352, 5.352, 8.858 Å; angles 90.00, 90.00, 120.00 degrees
Fractional coordinates of all 12 atoms:
1 Rb 0.000 0.000 0.000
2 Sn 0.000 0.000 0.500
3 Se 0.333 0.667 0.716
4 Se 0.667 0.333 0.284
5 O 0.057 0.344 0.651
6 O 0.288 0.943 0.651
7 O 0.333 0.667 0.902
8 O 0.344 0.288 0.349
9 O 0.656 0.712 0.651
10 O 0.667 0.333 0.098
11 O 0.712 0.057 0.349
12 O 0.943 0.656 0.349


# 2
Compound: ZrCr2Te
Source: the Alexandria database
Functional: PBE-GGA
Structure: optimized geometry

Values from the calculation:
Energy relative to the elements, uncorrected (eV/atom): 0.149
Symmetry: No. 123

Cell lengths 4.341, 4.341, 3.644 Å; angles 90.00, 90.00, 90.00 degrees
Fractional coordinates of all 4 atoms:
1 Zr 0.000 0.000 0.000
2 Cr 0.000 0.500 0.500
3 Cr 0.500 0.000 0.500
4 Te 0.500 0.500 0.000


# 3
Compound: La2ScSn2
Source: the Alexandria database
Functional: PBE-GGA
Structure: optimized geometry

Values from the calculation:
ΔH_f (0 K) (eV/atom): -0.65
Energy above the most stable polymorph in this dataset (meV/atom): 73
Symmetry: No. 63

Cell lengths 9.488, 9.488, 6.612 Å; angles 90.00, 90.00, 148.82 degrees
Fractional coordinates of all 10 atoms:
1 La 0.000 0.000 0.000
2 La 0.000 0.000 0.500
3 La 0.199 0.801 0.750
4 La 0.801 0.199 0.250
5 Sc 0.401 0.599 0.750
6 Sc 0.599 0.401 0.250
7 Sn 0.175 0.825 0.250
8 Sn 0.423 0.577 0.250
9 Sn 0.577 0.423 0.750
10 Sn 0.825 0.175 0.750


# 4
Compound: TaSnH3
Source: the Alexandria database
Functional: PBE-GGA
Structure: optimized geometry

Values from the calculation:
Energy above the most stable polymorph in this dataset (meV/atom): 0
Symmetry: No. 221

Cell lengths 3.744, 3.744, 3.744 Å; angles 90.00, 90.00, 90.00 degrees
Fractional coordinates of all 5 atoms:
1 Ta 0.000 0.000 0.000
2 Sn 0.500 0.500 0.500
3 H 0.000 0.000 0.500
4 H 0.000 0.500 0.000
5 H 0.500 0.000 0.000